# Fe2Au (PBE-GGA, relaxed)
# Energy   -6.4526 eV per atom
# Density   11.903 g cm⁻³
data_Fe2Au
_chemical_formula_sum 'Fe6 Au3'
_cell_length_a 7.5082
_cell_length_b 7.5082
_cell_length_c 2.6459
_cell_angle_alpha 90.00
_cell_angle_beta 90.00
_cell_angle_gamma 120.00
_symmetry_space_group_name_H-M 'P -6 2 m'
_symmetry_Int_Tables_number 189
_symmetry_space_group_name_Hall 'P -6 -2'
loop_
_atom_site_label
_atom_site_type_symbol
_atom_site_fract_x
_atom_site_fract_y
_atom_site_fract_z
_atom_site_occupancy
Fe1 Fe 0.0000 0.3107 0.0000 1
Fe2 Fe 0.0000 0.6431 0.5000 1
Au1 Au 0.0000 0.0000 0.5000 1
Au2 Au 0.3333 0.6667 0.0000 1